Record 1
Entry from Alexandria: a relaxed structure of La2CuAs (GGA-PBE).

```
4
Lattice="5.108 0.000 0.000 0.000 5.108 0.000 0.000 0.000 3.842" Properties=species:S:1:pos:R:3 pbc="T T T"
La 0.000 2.554 0.000
La 2.554 0.000 0.000
Cu 0.000 0.000 1.921
As 2.554 2.554 1.921
```

Electronic total energy   -0.197 hartree per atom
Fermi-level density of states   0.756 states/eV/atom
Spin magnetization   0.0 μB per cell
Energy relative to the elements   -0.7166 eV/atom
SG   P4/mmm, No. 123

Record 2
Entry from Alexandria: a relaxed structure of Y2MnIrC (GGA-PBE).

```
5
Lattice="4.931 0.000 0.000 0.000 4.931 0.000 0.000 0.000 3.703" Properties=species:S:1:pos:R:3 pbc="T T T"
Y 0.000 2.465 0.000
Y 2.465 0.000 0.000
Mn 0.000 0.000 1.851
Ir 2.465 2.465 1.851
C 0.000 0.000 0.000
```

Electronic total energy   -0.308 hartree per atom
Fermi-level density of states   0.582 states/eV/atom
Spin magnetization   2.0 μB per cell
Energy relative to the elements   -0.3441 eV/atom
SG   P4/mmm, No. 123

Record 3
Entry from Alexandria: a relaxed structure of Pm3PrNdHo (GGA-PBE).

```
12
Lattice="8.142 0.000 0.000 0.000 5.165 0.000 -3.276 0.000 9.766" Properties=species:S:1:pos:R:3 pbc="T T T"
Pm 1.223 1.291 0.413
Pm -1.224 3.874 7.720
Pm -0.391 1.291 5.291
Pm 5.258 3.874 4.475
Pm 6.090 1.291 2.046
Pm 3.643 3.874 9.353
Pr 0.412 3.874 2.864
Pr 4.454 1.291 6.903
Nd 1.206 1.291 8.533
Nd 3.660 3.874 1.234
Ho 2.835 1.291 3.677
Ho 2.031 3.874 6.090
```

Electronic total energy   -0.173 hartree per atom
Fermi-level density of states   1.489 states/eV/atom
Spin magnetization   0.0 μB per cell
Energy relative to the elements   0.0169 eV/atom
SG   P2_1/m, No. 11

Record 4
Entry from Alexandria: a relaxed structure of Sr2Zn2Rh (GGA-PBE).

```
10
Lattice="3.666 0.000 0.000 0.000 3.666 0.000 0.000 0.000 19.168" Properties=species:S:1:pos:R:3 pbc="T T T"
Sr 0.000 0.000 1.772
Sr 0.000 0.000 17.395
Sr 1.833 1.833 7.812
Sr 1.833 1.833 11.356
Zn 0.000 1.833 4.792
Zn 0.000 1.833 14.376
Zn 1.833 0.000 4.792
Zn 1.833 0.000 14.376
Rh 0.000 0.000 9.584
Rh 1.833 1.833 0.000
```

Electronic total energy   -0.101 hartree per atom
Fermi-level density of states   0.444 states/eV/atom
Spin magnetization   0.0 μB per cell
Energy relative to the elements   -0.0827 eV/atom
Excess energy over the best structure of this formula in the dataset   0.258 eV per atom
SG   I4/mmm, No. 139

Record 5
Entry from Alexandria: a relaxed structure of Re2SbBr2 (GGA-PBE).

```
10
Lattice="4.342 0.000 0.000 0.000 4.342 0.000 0.000 0.000 10.913" Properties=species:S:1:pos:R:3 pbc="T T T"
Re 0.000 2.171 2.728
Re 0.000 2.171 8.185
Re 2.171 0.000 2.728
Re 2.171 0.000 8.185
Sb 0.000 0.000 0.000
Sb 2.171 2.171 5.457
Br 0.000 0.000 3.971
Br 0.000 0.000 6.942
Br 2.171 2.171 1.485
Br 2.171 2.171 9.428
```

Electronic total energy   -0.189 hartree per atom
Fermi-level density of states   0.960 states/eV/atom
Spin magnetization   0.0 μB per cell
Excess energy over the best structure of this formula in the dataset   0.000 eV per atom
SG   I4/mmm, No. 139
Uncorrected formation energy   1322 meV/atom

Record 6
Entry from Alexandria: a relaxed structure of ScBeTl (GGA-PBE).

```
6
Lattice="3.984 0.000 0.000 0.000 3.759 0.000 -1.985 0.000 7.812" Properties=species:S:1:pos:R:3 pbc="T T T"
Sc 0.000 0.940 1.282
Sc 1.999 2.819 6.530
Be 0.007 0.940 7.284
Be 1.992 2.819 0.528
Tl 0.007 0.940 4.708
Tl 1.992 2.819 3.104
```

Electronic total energy   -0.154 hartree per atom
Fermi-level density of states   0.774 states/eV/atom
Spin magnetization   0.0 μB per cell
Energy relative to the elements   -0.0614 eV/atom
Excess energy over the best structure of this formula in the dataset   0.026 eV per atom
SG   P2_1/m, No. 11